Computed, not measured: an optimized crystal structure of Y2UAl2Ru5 at the PBE level of DFT.

Computed properties:
* total magnetic moment: 0.00 μB/cell
* ρ: 9.3 g/cm³
* space-group type: P4/mbm
* DFT total energy: -166.75 eV per cell

```
Y2UAl2Ru5
1.0
10.152 0.000 0.000
0.000 10.152 0.000
0.000 0.000 3.390
Y U Al Ru
4 2 4 10
direct
0.169 0.331 0.000
0.331 0.831 0.000
0.669 0.169 0.000
0.831 0.669 0.000
0.000 0.000 0.000
0.500 0.500 0.000
0.127 0.627 0.000
0.373 0.127 0.000
0.627 0.873 0.000
0.873 0.373 0.000
0.000 0.500 0.500
0.068 0.801 0.500
0.199 0.068 0.500
0.301 0.568 0.500
0.432 0.301 0.500
0.500 0.000 0.500
0.568 0.699 0.500
0.699 0.432 0.500
0.801 0.932 0.500
0.932 0.199 0.500
```

Computed, not measured: an optimized crystal structure of Zr2UAl2Ru5 at the PBE level of DFT.

Computed properties:
* total magnetic moment: 0.00 μB/cell
* ρ: 9.8 g/cm³
* space-group type: P4/mbm
* DFT total energy: -175.25 eV per cell

```
Zr2UAl2Ru5
1.0
9.770 0.000 0.000
0.000 9.770 0.000
0.000 0.000 3.486
Zr U Al Ru
4 2 4 10
direct
0.169 0.331 0.000
0.331 0.831 0.000
0.669 0.169 0.000
0.831 0.669 0.000
0.000 0.000 0.000
0.500 0.500 0.000
0.128 0.628 0.000
0.372 0.128 0.000
0.628 0.872 0.000
0.872 0.372 0.000
0.000 0.500 0.500
0.069 0.798 0.500
0.202 0.069 0.500
0.298 0.569 0.500
0.431 0.298 0.500
0.500 0.000 0.500
0.569 0.702 0.500
0.702 0.431 0.500
0.798 0.931 0.500
0.931 0.202 0.500
```

- What is the formula in the first record?
  Y2UAl2Ru5